DFT (PBE) results for a geometry-optimized HoInCu structure.

Unit cell a=6.9694 b=6.9694 c=4.5756 alpha=90.00 beta=90.00 gamma=120.00
Space group P-62m (No. 189)
One atom of each set of equivalent atoms:
1 Ho 0.0000 0.5618 0.0000
2 In 0.0000 0.0000 0.0000
3 In 0.3333 0.6667 0.5000
4 Cu 0.0000 0.2256 0.5000

Results
The final energy comes out at -0.290 Ry per atom.


DFT (PBE) results for a geometry-optimized AgI structure.

Unit cell a=4.5234 b=4.5234 c=6.4641 alpha=90.00 beta=90.00 gamma=120.00
Space group P6_3/mmc (No. 194)
One atom of each set of equivalent atoms:
1 Ag 0.0000 0.0000 0.0000
2 I 0.3333 0.6667 0.2500

Results
The final energy comes out at -0.173 Ry per atom.


DFT (PBE) results for a geometry-optimized La2Nb2Cl2O7 structure.

Unit cell a=15.422 b=3.969 c=7.017 alpha=90.00 beta=113.79 gamma=90.00
Space group C2/m (No. 12)
One atom of each set of equivalent atoms:
1 La 0.191 0.000 0.167
2 Nb 0.034 0.500 0.795
3 Cl 0.176 0.000 0.566
4 O 0.000 0.500 0.500
5 O 0.044 0.000 0.836
6 O 0.082 0.500 0.154
7 O 0.175 0.500 0.931

Results
The final energy comes out at -0.596 Ry per atom.


DFT (PBE) results for a geometry-optimized Mg6TlHg structure.

Unit cell a=6.2893 b=6.2893 c=5.1453 alpha=90.00 beta=90.00 gamma=120.00
Space group P-6m2 (No. 187)
One atom of each set of equivalent atoms:
1 Mg 0.1684 0.3368 0.0000
2 Mg 0.3301 0.1651 0.5000
3 Tl 0.6667 0.3333 0.0000
4 Hg 0.3333 0.6667 0.5000

Results
The final energy comes out at -0.116 Ry per atom.


Among the records above, which one has the lowest final energy? La2Nb2Cl2O7